# 1
First-principles (PBEsol) data for an optimized crystal structure of YIrOs2, as listed in Alexandria.

abc: 2.780 2.780 9.657
angles: 81.72 81.72 60.00
Positions (direct):
Ir1 0.257 0.257 0.228
Os1 0.001 0.001 0.996
Os2 0.741 0.741 0.778
Y1 0.501 0.501 0.498

Results
SG = R3m
VASP energy = -9.910 eV/atom
Crystal system = trigonal
Energy relative to the elements = 0.359 eV/atom

=====

# 2
First-principles (PBEsol) data for an optimized crystal structure of ZnIr3Os, as listed in Alexandria.

abc: 4.685 4.685 4.685
angles: 90.00 90.00 90.00
Positions (direct):
Zn1 0.500 0.500 0.500
Ir1 0.000 0.500 0.000
Ir2 0.000 0.000 0.500
Ir3 0.500 0.000 0.000
Os1 0.000 0.000 0.000

Results
SG = Pm-3m
VASP energy = -6.680 eV/atom
Crystal system = cubic
Energy relative to the elements = 1.974 eV/atom

=====

# 3
First-principles (PBEsol) data for an optimized crystal structure of Zr2IrOs, as listed in Alexandria.

abc: 3.877 3.877 5.357
angles: 111.22 111.22 90.00
Positions (direct):
Ir1 0.500 0.500 0.000
Os1 0.250 0.750 0.500
Zr1 0.000 0.000 0.000
Zr2 0.750 0.250 0.500

Results
SG = I-4m2
VASP energy = -10.464 eV/atom
Crystal system = tetragonal
Energy relative to the elements = -0.410 eV/atom

=====

# 4
First-principles (PBEsol) data for an optimized crystal structure of ZrIrOs2, as listed in Alexandria.

abc: 2.774 2.774 8.052
angles: 90.00 90.00 90.00
Positions (direct):
Ir1 0.500 0.500 0.500
Os1 0.000 0.000 0.728
Os2 0.000 0.000 0.272
Zr1 0.500 0.500 0.000

Results
SG = P4/mmm
VASP energy = -10.791 eV/atom
Crystal system = tetragonal
Energy relative to the elements = 0.045 eV/atom

=====

# 5
First-principles (PBEsol) data for an optimized crystal structure of ZrIrOs2, as listed in Alexandria.

abc: 3.916 3.916 4.873
angles: 113.69 113.69 90.00
Positions (direct):
Ir1 0.500 0.500 0.000
Os1 0.750 0.250 0.500
Os2 0.250 0.750 0.500
Zr1 0.000 0.000 0.000

Results
SG = I4/mmm
VASP energy = -10.982 eV/atom
Crystal system = tetragonal
Energy relative to the elements = -0.146 eV/atom

=====

# 6
First-principles (PBEsol) data for an optimized crystal structure of ZrIrOs, as listed in Alexandria.

abc: 2.780 2.780 7.113
angles: 90.00 90.00 120.00
Positions (direct):
Ir1 0.000 0.000 0.986
Os1 0.333 0.667 0.683
Zr1 0.667 0.333 0.331

Results
SG = P3m1
VASP energy = -10.307 eV/atom
Crystal system = trigonal
Energy relative to the elements = 0.070 eV/atom

=====

# 7
First-principles (PBEsol) data for an optimized crystal structure of ZrIrOs2, as listed in Alexandria.

abc: 2.779 4.794 5.387
angles: 115.09 102.82 94.64
Positions (direct):
Ir1 0.500 0.000 0.000
Os1 0.500 0.500 0.500
Os2 0.000 0.000 0.500
Zr1 0.000 0.500 0.000

Results
SG = C2/m
VASP energy = -10.723 eV/atom
Crystal system = monoclinic
Energy relative to the elements = 0.113 eV/atom

=====

# 8
First-principles (PBEsol) data for an optimized crystal structure of Zr2IrOs, as listed in Alexandria.

abc: 3.250 4.608 4.608
angles: 92.99 90.00 90.00
Positions (direct):
Ir1 0.500 0.000 0.000
Os1 0.500 0.500 0.500
Zr1 0.000 0.500 0.000
Zr2 0.000 0.000 0.500

Results
SG = Cmmm
VASP energy = -10.705 eV/atom
Crystal system = orthorhombic
Energy relative to the elements = -0.651 eV/atom

=====

# 9
First-principles (PBEsol) data for an optimized crystal structure of ZrIrOs2, as listed in Alexandria.

abc: 2.815 4.773 4.784
angles: 108.34 90.00 90.00
Positions (direct):
Ir1 0.000 0.500 0.500
Os1 0.000 0.000 0.000
Os2 0.500 0.000 0.500
Zr1 0.500 0.500 0.000

Results
SG = P2/m
VASP energy = -11.010 eV/atom
Crystal system = monoclinic
Energy relative to the elements = -0.174 eV/atom

=====

# 10
First-principles (PBEsol) data for an optimized crystal structure of Zr2IrOs, as listed in Alexandria.

abc: 4.603 4.603 4.603
angles: 60.00 60.00 60.00
Positions (direct):
Ir1 0.000 0.000 0.000
Os1 0.500 0.500 0.500
Zr1 0.750 0.750 0.750
Zr2 0.250 0.250 0.250

Results
SG = Fm-3m
VASP energy = -10.693 eV/atom
Crystal system = cubic
Energy relative to the elements = -0.639 eV/atom

=====

# 11
First-principles (PBEsol) data for an optimized crystal structure of Zr3IrOs, as listed in Alexandria.

abc: 4.885 4.885 4.885
angles: 90.00 90.00 90.00
Positions (direct):
Ir1 0.500 0.500 0.500
Os1 0.000 0.000 0.000
Zr1 0.000 0.500 0.000
Zr2 0.000 0.000 0.500
Zr3 0.500 0.000 0.000

Results
SG = Pm-3m
VASP energy = -9.151 eV/atom
Crystal system = cubic
Energy relative to the elements = 0.710 eV/atom

=====

# 12
First-principles (PBEsol) data for an optimized crystal structure of ZrIrOs2, as listed in Alexandria.

abc: 2.813 4.834 4.831
angles: 99.64 90.00 106.92
Positions (direct):
Ir1 0.257 0.513 0.759
Os1 0.001 0.002 0.020
Os2 0.742 0.483 0.213
Zr1 0.501 0.001 0.509

Results
SG = Cm
VASP energy = -10.972 eV/atom
Crystal system = monoclinic
Energy relative to the elements = -0.136 eV/atom